# ErZrZnNi | Alexandria via LeMat-Bulk | PBE-GGA | relaxed
data_ErZrZnNi
_cell_length_a 6.721
_cell_length_b 6.721
_cell_length_c 6.721
_cell_angle_alpha 90.00
_cell_angle_beta 90.00
_cell_angle_gamma 90.00
_symmetry_space_group_name_H-M 'F -4 3 m'
_symmetry_Int_Tables_number 216
_symmetry_space_group_name_Hall 'F -4 2 3'
loop_
_atom_site_label
_atom_site_type_symbol
_atom_site_fract_x
_atom_site_fract_y
_atom_site_fract_z
_atom_site_occupancy
Er1 Er 0.000 0.000 0.000 1
Zr1 Zr 0.000 0.000 0.500 1
Zn1 Zn 0.250 0.250 0.750 1
Ni1 Ni 0.250 0.250 0.250 1
# Calculated formation energy, eV/atom: -0.26
# Electronic total energy, eV per atom: -5.299